Ca2MnAs2H2O8 | PBE with a Hubbard U | relaxed

Results
The total magnetization is 5.00 μB per formula unit. The uncorrected energy comes out at -178.9 eV/cell. The symmetry is P2_1/c, No. 14. The crystal system is monoclinic. For the volume, the calculation gives 390.90 Å³/cell.

Cell lengths 6.2753, 12.1687, 5.6051 Å; angles 90.00, 114.04, 90.00 degrees
Sites, in units of the cell vectors:
Ca (0.0721, 0.1217, 0.2846)
Ca (0.0721, 0.3783, 0.7846)
Ca (0.9279, 0.6217, 0.2154)
Ca (0.9279, 0.8783, 0.7154)
Mn (0.5000, 0.0000, 0.0000)
Mn (0.5000, 0.5000, 0.5000)
As (0.2855, 0.6271, 0.9299)
As (0.2855, 0.8729, 0.4299)
As (0.7145, 0.1271, 0.5701)
As (0.7145, 0.3729, 0.0701)
H (0.4319, 0.1367, 0.9839)
H (0.4319, 0.3633, 0.4839)
H (0.5681, 0.6367, 0.5161)
H (0.5681, 0.8633, 0.0161)
O (0.0582, 0.7094, 0.9103)
O (0.0582, 0.7906, 0.4103)
O (0.2204, 0.5511, 0.6463)
O (0.2204, 0.9489, 0.1463)
O (0.2599, 0.5246, 0.1440)
O (0.2599, 0.9754, 0.6440)
O (0.4489, 0.1874, 0.4523)
O (0.4489, 0.3126, 0.9523)
O (0.5511, 0.6874, 0.0477)
O (0.5511, 0.8126, 0.5477)
O (0.7401, 0.0246, 0.3560)
O (0.7401, 0.4754, 0.8560)
O (0.7796, 0.0511, 0.8537)
O (0.7796, 0.4489, 0.3537)
O (0.9418, 0.2094, 0.5897)
O (0.9418, 0.2906, 0.0897)